Density functional theory data (PBE+U) for ScGa2WF after structural relaxation.

Its total DFT energy (no corrections) is -22.0 eV for the cell shown.

The structure belongs to space group P4/mmm (No. 123); the cell edges are 5.1045, 5.1045 and 4.0905 Å and the angles 90.00°, 90.00° and 90.00°. Symmetry generates all atoms from Sc at (0.0000, 0.0000, 0.0000), Ga at (0.0000, 0.5000, 0.5000), W at (0.5000, 0.5000, 0.5000) and F at (0.5000, 0.5000, 0.0000).